Record 1
Na2Bi2Au: optimized geometry, GGA-PBEsol. Values from VASP.

Geometry as Quantum ESPRESSO input:
```
&SYSTEM
  ibrav = 0, nat = 10, ntyp = 3
/
ATOMIC_SPECIES
Na 22.99 Na.upf
Bi 208.98 Bi.upf
Au 196.97 Au.upf
ATOMIC_POSITIONS angstrom
Na 1.226 2.494 0.000
Na 2.494 6.215 0.000
Na 4.947 1.226 0.000
Na 6.215 4.947 0.000
Bi 1.103 4.823 2.558
Bi 2.618 1.103 2.558
Bi 4.823 6.339 2.558
Bi 6.339 2.618 2.558
Au 0.000 0.000 2.558
Au 3.721 3.721 2.558
CELL_PARAMETERS angstrom
7.441 0.000 0.000
0.000 7.441 0.000
0.000 0.000 5.117
```

As for the density: 7.7 g/cm³. Its crystal system is tetragonal. As for the energy relative to the elements: -0.235 eV per atom. Its spin magnetization is 0.000 μB/f.u.

---

Record 2
NaBiRuAu2: optimized geometry, GGA-PBEsol. Values from VASP.

Geometry as Quantum ESPRESSO input:
```
&SYSTEM
  ibrav = 0, nat = 5, ntyp = 4
/
ATOMIC_SPECIES
Na 22.99 Na.upf
Bi 208.98 Bi.upf
Ru 101.07 Ru.upf
Au 196.97 Au.upf
ATOMIC_POSITIONS angstrom
Na 0.000 0.000 0.000
Bi 0.000 0.000 2.732
Ru 2.612 2.612 0.000
Au 0.000 2.612 2.732
Au 2.612 0.000 2.732
CELL_PARAMETERS angstrom
5.224 0.000 0.000
0.000 5.224 0.000
0.000 0.000 5.464
```

As for the density: 8.1 g/cm³. Its crystal system is tetragonal. As for the energy relative to the elements: 1.535 eV per atom. Its spin magnetization is 2.833 μB/f.u.